CrOsBr2: relaxed, PBE-GGA.

energy above the lowest structure with this stoichiometry = 896 meV per atom
crystal system = orthorhombic
raw formation energy = 1.113 eV/atom

Lattice parameters (Å, degrees): 3.116 5.894 8.662 90.00 90.00 90.00
Sites, in units of the cell vectors:
Cr 0.000 0.000 0.000
Cr 0.500 0.500 0.000
Os 0.000 0.000 0.500
Os 0.500 0.500 0.500
Br 0.000 0.500 0.262
Br 0.000 0.500 0.738
Br 0.500 0.000 0.262
Br 0.500 0.000 0.738

=====

Cr2OsBr: relaxed, PBE-GGA.

energy above the lowest structure with this stoichiometry = 84 meV per atom
crystal system = tetragonal
raw formation energy = 0.643 eV/atom

Lattice parameters (Å, degrees): 2.967 2.967 6.724 90.00 90.00 90.00
Sites, in units of the cell vectors:
Cr 0.000 0.000 0.000
Cr 0.500 0.500 0.233
Os 0.000 0.000 0.423
Br 0.500 0.500 0.784

=====

CrOsBr2: relaxed, PBE-GGA.

energy above the lowest structure with this stoichiometry = 791 meV per atom
crystal system = monoclinic
raw formation energy = 1.008 eV/atom

Lattice parameters (Å, degrees): 3.421 4.212 5.467 90.00 90.85 90.00
Sites, in units of the cell vectors:
Cr 0.000 0.000 0.000
Os 0.500 0.000 0.500
Br 0.288 0.500 0.260
Br 0.712 0.500 0.740

=====

CrOs2Br: relaxed, PBE-GGA.

energy above the lowest structure with this stoichiometry = 111 meV per atom
crystal system = monoclinic
raw formation energy = 0.790 eV/atom

Lattice parameters (Å, degrees): 10.631 2.829 4.264 90.00 98.28 90.00
Sites, in units of the cell vectors:
Cr 0.000 0.000 0.000
Cr 0.500 0.500 0.000
Os 0.210 0.500 0.219
Os 0.290 0.000 0.781
Os 0.710 0.000 0.219
Os 0.790 0.500 0.781
Br 0.000 0.500 0.500
Br 0.500 0.000 0.500

=====

CrOsBr: relaxed, PBE-GGA.

energy above the lowest structure with this stoichiometry = 47 meV per atom
crystal system = tetragonal
raw formation energy = 0.704 eV/atom

Lattice parameters (Å, degrees): 2.936 2.936 11.152 90.00 90.00 90.00
Sites, in units of the cell vectors:
Cr 0.000 0.000 0.000
Cr 0.500 0.500 0.500
Os 0.000 0.000 0.374
Os 0.500 0.500 0.874
Br 0.000 0.000 0.667
Br 0.500 0.500 0.167

=====

Cr2OsBr: relaxed, PBE-GGA.

energy above the lowest structure with this stoichiometry = 378 meV per atom
crystal system = orthorhombic
raw formation energy = 0.937 eV/atom

Lattice parameters (Å, degrees): 3.002 4.424 4.495 90.00 90.00 90.00
Sites, in units of the cell vectors:
Cr 0.000 0.000 0.000
Cr 0.500 0.000 0.500
Os 0.000 0.500 0.500
Br 0.500 0.500 0.000